! VCoI2O | the Alexandria database | PBE+U | optimized geometry; values from VASP
&SYSTEM
  ibrav = 0, nat = 5, ntyp = 4
/
ATOMIC_SPECIES
I 126.90 I.upf
Co 58.93 Co.upf
O 16.00 O.upf
V 50.94 V.upf
CELL_PARAMETERS angstrom
-1.772 -2.829 4.614
-2.805 -3.672 -3.329
3.021 -2.160 -0.163
ATOMIC_POSITIONS crystal
I 0.000 0.500 0.000
I 0.500 0.000 0.000
Co 0.500 0.500 0.500
O 0.000 0.000 0.500
V 0.000 0.000 0.000
! - Polymorph energy (0 for the lowest one): 0.0000 eV/atom
! - Calculated total energy: -3.95 eV/atom
! - DOS at the Fermi energy: 8.17 states/eV/f.u.